1.
VASP calculation (PBE-GGA) on an optimized crystal structure of HPdRuRh2.

Lattice parameters (Å, degrees): 3.9164 3.9164 3.9151 90.00 90.00 90.00
Last column: nearest neighbours and their distance in Å.
Fractional coordinates of all 5 atoms:
H: 0.0000 0.0000 0.0000  2 Ru 1.96, 4 Rh 1.96
Pd: 0.5000 0.5000 0.5000  8 Rh 2.77, 4 Ru 2.77
Ru: 0.0000 0.0000 0.5000  2 H 1.96
Rh: 0.0000 0.5000 0.0000  2 H 1.96
Rh: 0.5000 0.0000 0.0000  2 H 1.96

excess energy over the best structure of this formula in the dataset	0	meV per atom

2.
VASP calculation (PBE-GGA) on an optimized crystal structure of LiAlNi2.

Lattice parameters (Å, degrees): 2.9603 2.9603 5.4354 90.00 90.00 90.00
Last column: nearest neighbours and their distance in Å.
Fractional coordinates of all 4 atoms:
Li: 0.0000 0.0000 0.0000  5 Ni 2.41-2.60, 4 Al 2.62
Al: 0.5000 0.5000 0.7109  5 Ni 2.45-2.67, 4 Li 2.62
Ni: 0.0000 0.0000 0.4781  4 Al 2.45, 4 Ni 2.52, 1 Li 2.60
Ni: 0.5000 0.5000 0.2204  4 Li 2.41, 4 Ni 2.52, 1 Al 2.67

energy relative to the elements	-17.3	kJ per mole of atoms

3.
VASP calculation (PBE-GGA) on an optimized crystal structure of Pr4AgPd12.

Lattice parameters (Å, degrees): 7.5304 7.5304 7.5304 109.47 109.47 109.47
Last column: nearest neighbours and their distance in Å.
Fractional coordinates of all 17 atoms:
Pr: 0.0000 0.0000 0.5000  12 Pd 3.07-3.11
Pr: 0.0000 0.5000 0.0000  12 Pd 3.07-3.11
Pr: 0.5000 0.0000 0.0000  12 Pd 3.07-3.11
Pr: 0.5000 0.5000 0.5000  12 Pd 3.07-3.11
Ag: 0.0000 0.0000 0.0000  6 Pd 2.64
Pd: 0.0000 0.3038 0.3038  1 Ag 2.64, 4 Pd 2.76
Pd: 0.0000 0.6962 0.6962  1 Ag 2.64, 4 Pd 2.76
Pd: 0.2500 0.5000 0.7500  8 Pd 2.76-3.07, 4 Pr 3.07
Pd: 0.2500 0.7500 0.5000  8 Pd 2.76-3.07, 4 Pr 3.07
Pd: 0.3038 0.0000 0.3038  1 Ag 2.64, 4 Pd 2.76
Pd: 0.3038 0.3038 0.0000  1 Ag 2.64, 4 Pd 2.76
Pd: 0.5000 0.2500 0.7500  8 Pd 2.76-3.07, 4 Pr 3.07
Pd: 0.5000 0.7500 0.2500  8 Pd 2.76-3.07, 4 Pr 3.07
Pd: 0.6962 0.0000 0.6962  1 Ag 2.64, 4 Pd 2.76
Pd: 0.6962 0.6962 0.0000  1 Ag 2.64, 4 Pd 2.76
Pd: 0.7500 0.2500 0.5000  8 Pd 2.76-3.07, 4 Pr 3.07
Pd: 0.7500 0.5000 0.2500  8 Pd 2.76-3.07, 4 Pr 3.07

energy relative to the elements	-66.6	kJ per mole of atoms

4.
VASP calculation (PBE-GGA) on an optimized crystal structure of Pm7NdRu2.

Lattice parameters (Å, degrees): 8.4283 8.4283 5.5103 90.00 90.00 117.02
Last column: nearest neighbours and their distance in Å.
Fractional coordinates of all 10 atoms:
Pm: 0.0000 0.0000 0.0000  2 Ru 2.90
Pm: 0.1736 0.4428 0.0000  2 Ru 2.88-2.89
Pm: 0.2048 0.7952 0.5000  2 Ru 2.76
Pm: 0.4428 0.1736 0.0000  2 Ru 2.88-2.89
Pm: 0.5572 0.8264 0.0000  2 Ru 2.88-2.89
Pm: 0.7952 0.2048 0.5000  2 Ru 2.76
Pm: 0.8264 0.5572 0.0000  2 Ru 2.88-2.89
Nd: 0.5000 0.5000 0.5000  8 Pm 3.77
Ru: 0.2019 0.7981 0.0000  7 Pm 2.76-2.90
Ru: 0.7981 0.2019 0.0000  7 Pm 2.76-2.90

energy relative to the elements	5.1	kJ per mole of atoms

no.,calculated total energy (eV per atom)
1,-6.363
2,-4.484
3,-5.649
4,-5.605